# LiMg2O2

A geometry-optimized LiMg2O2 structure (PBE-GGA, Alexandria via LeMat-Bulk).

Summary:
formation energy (no corrections)	-1.723	eV per atom
uncorrected energy	-4.726	eV/atom

```
data_LiMg2O2
_cell_length_a 5.508
_cell_length_b 7.489
_cell_length_c 6.218
_cell_angle_alpha 90.00
_cell_angle_beta 90.00
_cell_angle_gamma 90.00
_symmetry_space_group_name_H-M 'I b a m'
_symmetry_Int_Tables_number 72
_symmetry_space_group_name_Hall '-I 2 2c'
loop_
_atom_site_label
_atom_site_fract_x
_atom_site_fract_y
_atom_site_fract_z
Li1 0.000 0.000 0.250
Mg1 0.114 0.337 0.000
O1 0.244 0.408 0.500
```